[1]
KSiMo2 after structural relaxation, computed with PBEsol.

For the raw formation energy, the calculation gives 1.363 eV per atom.

The space group is I4/mmm (No. 139) and the conventional cell measures 4.249, 4.249 and 7.186 Å, with angles of 90.00, 90.00 and 90.00 degrees. The inequivalent atoms are K at (0.000, 0.000, 0.000), Si at (0.000, 0.000, 0.500) and Mo at (0.000, 0.500, 0.250).

[2]
LaMg2Sc after structural relaxation, computed with PBEsol.

The calculation puts the formation energy at 0.0 eV per formula unit.

The space group is P4mm (No. 99) and the conventional cell measures 3.367, 3.367 and 9.204 Å, with angles of 90.00, 90.00 and 90.00 degrees. The inequivalent atoms are La at (0.000, 0.000, 0.000), Mg at (0.000, 0.000, 0.500), Mg at (0.500, 0.500, 0.280) and Sc at (0.500, 0.500, 0.726).

[3]
Mg2AgPd after structural relaxation, computed with PBEsol.

The calculation puts the formation energy at -1.9 eV per formula unit.

The space group is Fm-3m (No. 225) and the conventional cell measures 6.423, 6.423 and 6.423 Å, with angles of 90.00, 90.00 and 90.00 degrees. The inequivalent atoms are Mg at (0.250, 0.250, 0.250), Ag at (0.000, 0.000, 0.000) and Pd at (0.000, 0.000, 0.500).

[4]
BeBr2Cl after structural relaxation, computed with PBEsol.

For the raw formation energy, the calculation gives -0.340 eV per atom.

The space group is R-3m (No. 166, hexagonal axes) and the conventional cell measures 3.3460, 3.3460 and 28.4202 Å, with angles of 90.00, 90.00 and 120.00 degrees. The inequivalent atoms are Be at (0.0000, 0.0000, 0.0000), Br at (0.0000, 0.0000, 0.2842) and Cl at (0.0000, 0.0000, 0.5000).

[5]
CuIr2W after structural relaxation, computed with PBEsol.

The calculation puts the formation energy at 0.2 eV per formula unit.

The space group is Cmmm (No. 65) and the conventional cell measures 5.480, 7.434 and 2.746 Å, with angles of 90.00, 90.00 and 90.00 degrees. The inequivalent atoms are Cu at (0.000, 0.000, 0.000), Ir at (0.250, 0.250, 0.500) and W at (0.000, 0.500, 0.000).

[6]
GdCoSi after structural relaxation, computed with PBEsol.

For the raw formation energy, the calculation gives -0.791 eV per atom.

The space group is P4/nmm (No. 129, origin choice 2) and the conventional cell measures 3.901, 3.901 and 6.710 Å, with angles of 90.00, 90.00 and 90.00 degrees. The inequivalent atoms are Gd at (0.250, 0.250, 0.177), Co at (0.250, 0.750, 0.500) and Si at (0.250, 0.250, 0.684).

[7]
KZrAg2 after structural relaxation, computed with PBEsol.

The calculation puts the formation energy at 0.6 eV per formula unit.

The space group is P4/mmm (No. 123) and the conventional cell measures 3.450, 3.450 and 8.126 Å, with angles of 90.00, 90.00 and 90.00 degrees. The inequivalent atoms are K at (0.000, 0.000, 0.000), Zr at (0.000, 0.000, 0.500) and Ag at (0.500, 0.500, 0.313).

[8]
GaBiBIr2 after structural relaxation, computed with PBEsol.

The calculation puts the formation energy at 11.1 eV per formula unit.

The space group is P4/mmm (No. 123) and the conventional cell measures 5.007, 5.007 and 4.424 Å, with angles of 90.00, 90.00 and 90.00 degrees. The inequivalent atoms are Ga at (0.000, 0.000, 0.000), Bi at (0.500, 0.500, 0.500), B at (0.500, 0.500, 0.000) and Ir at (0.000, 0.500, 0.500).

[9]
Ca6Ag16N after structural relaxation, computed with PBEsol.

For the raw formation energy, the calculation gives -0.315 eV per atom.

The space group is Im-3m (No. 229) and the conventional cell measures 9.679, 9.679 and 9.679 Å, with angles of 90.00, 90.00 and 90.00 degrees. The inequivalent atoms are Ca at (0.000, 0.000, 0.257), Ag at (0.000, 0.347, 0.347), Ag at (0.250, 0.250, 0.250) and N at (0.000, 0.000, 0.000).

[10]
RbW2O6 after structural relaxation, computed with PBEsol.

For the raw formation energy, the calculation gives -2.138 eV per atom.

The space group is Fd-3m (No. 227, origin choice 2) and the conventional cell measures 10.324, 10.324 and 10.324 Å, with angles of 90.00, 90.00 and 90.00 degrees. The inequivalent atoms are Rb at (0.125, 0.125, 0.125), W at (0.000, 0.000, 0.500) and O at (0.061, 0.375, 0.875).

[11]
FePtF3 after structural relaxation, computed with PBEsol.

For the raw formation energy, the calculation gives -0.139 eV per atom.

The space group is Pm-3m (No. 221) and the conventional cell measures 4.233, 4.233 and 4.233 Å, with angles of 90.00, 90.00 and 90.00 degrees. The inequivalent atoms are Fe at (0.000, 0.000, 0.000), Pt at (0.500, 0.500, 0.500) and F at (0.000, 0.500, 0.500).

[12]
VC2O6 after structural relaxation, computed with PBEsol.

For the raw formation energy, the calculation gives -1.592 eV per atom.

The space group is I-42d (No. 122) and the conventional cell measures 9.788, 9.788 and 9.106 Å, with angles of 90.00, 90.00 and 90.00 degrees. The inequivalent atoms are V at (0.213, 0.250, 0.125), C at (0.053, 0.207, 0.851), O at (0.067, 0.708, 0.456), O at (0.070, 0.207, 0.991) and O at (0.157, 0.203, 0.764).

[13]
SiIr2Cl after structural relaxation, computed with PBEsol.

For the raw formation energy, the calculation gives 0.350 eV per atom.

The space group is Pmm2 (No. 25) and the conventional cell measures 2.857, 3.798 and 5.308 Å, with angles of 90.00, 90.00 and 90.00 degrees. The inequivalent atoms are Si at (0.000, 0.000, 0.000), Ir at (0.000, 0.000, 0.486), Ir at (0.500, 0.500, 0.833) and Cl at (0.500, 0.500, 0.376).

[14]
Zn2TeP after structural relaxation, computed with PBEsol.

For the raw formation energy, the calculation gives -0.132 eV per atom.

The space group is Pmm2 (No. 25) and the conventional cell measures 3.358, 4.149 and 6.456 Å, with angles of 90.00, 90.00 and 90.00 degrees. The inequivalent atoms are Zn at (0.000, 0.000, 0.000), Zn at (0.500, 0.500, 0.413), Te at (0.000, 0.500, 0.751) and P at (0.500, 0.000, 0.253).

[15]
TiMn2O4 after structural relaxation, computed with PBEsol.

For the raw formation energy, the calculation gives -2.013 eV per atom.

The space group is P4_322 (No. 95) and the conventional cell measures 6.096, 6.096 and 8.532 Å, with angles of 90.00, 90.00 and 90.00 degrees. The inequivalent atoms are Ti at (0.000, 0.255, 0.000), Mn at (0.249, 0.249, 0.625), Mn at (0.250, 0.500, 0.250), O at (0.014, 0.233, 0.232) and O at (0.233, 0.469, 0.999).

[16]
LiSi2Se after structural relaxation, computed with PBEsol.

For the raw formation energy, the calculation gives -0.001 eV per atom.

The space group is Cmm2 (No. 35) and the conventional cell measures 3.566, 4.226 and 8.908 Å, with angles of 90.00, 90.00 and 90.00 degrees. The inequivalent atoms are Li at (0.000, 0.000, 0.000), Si at (0.000, 0.000, 0.559), Si at (0.000, 0.500, 0.760) and Se at (0.000, 0.500, 0.212).

[17]
LaY2Sc after structural relaxation, computed with PBEsol.

The calculation puts the formation energy at 0.2 eV per formula unit.

The space group is Pmm2 (No. 25) and the conventional cell measures 3.523, 4.781 and 7.017 Å, with angles of 90.00, 90.00 and 90.00 degrees. The inequivalent atoms are La at (0.000, 0.000, 0.000), Y at (0.000, 0.000, 0.483), Y at (0.500, 0.500, 0.738) and Sc at (0.500, 0.500, 0.248).

[18]
CoTcRh2 after structural relaxation, computed with PBEsol.

The calculation puts the formation energy at 1.3 eV per formula unit.

The space group is F-43m (No. 216) and the conventional cell measures 5.936, 5.936 and 5.936 Å, with angles of 90.00, 90.00 and 90.00 degrees. The inequivalent atoms are Co at (0.000, 0.000, 0.000), Tc at (0.250, 0.250, 0.250), Rh at (0.000, 0.000, 0.500) and Rh at (0.250, 0.250, 0.750).

[19]
AlAu2Se after structural relaxation, computed with PBEsol.

For the raw formation energy, the calculation gives 0.040 eV per atom.

The space group is I4/mmm (No. 139) and the conventional cell measures 3.890, 3.890 and 9.375 Å, with angles of 90.00, 90.00 and 90.00 degrees. The inequivalent atoms are Al at (0.000, 0.000, 0.000), Au at (0.000, 0.500, 0.250) and Se at (0.000, 0.000, 0.500).

[20]
TlCrAs2Se after structural relaxation, computed with PBEsol.

For the raw formation energy, the calculation gives 0.190 eV per atom.

The space group is P4/mmm (No. 123) and the conventional cell measures 4.580, 4.580 and 5.183 Å, with angles of 90.00, 90.00 and 90.00 degrees. The inequivalent atoms are Tl at (0.000, 0.000, 0.000), Cr at (0.500, 0.500, 0.500), As at (0.000, 0.500, 0.500) and Se at (0.500, 0.500, 0.000).

| no. | E_tot (eV/atom) | D(E_F) (states/eV per cell) |
| --- | --- | --- |
| 1 | -6.241 | 9.05 |
| 2 | -3.851 | 5.15 |
| 3 | -3.645 | 4.87 |
| 4 | -2.776 | 7.77 |
| 5 | -9.409 | 8.23 |
| 6 | -10.102 | 4.13 |
| 7 | -4.069 | 2.63 |
| 8 | -4.635 | 5.90 |
| 9 | -3.545 | 17.82 |
| 10 | -8.820 | 43.11 |
| 11 | -4.481 | 7.70 |
| 12 | -8.306 | 17.04 |
| 13 | -6.500 | 1.89 |
| 14 | -3.252 | 0.45 |
| 15 | -8.991 | 6.92 |
| 16 | -4.328 | 2.54 |
| 17 | -6.350 | 6.02 |
| 18 | -8.507 | 24.72 |
| 19 | -3.907 | 2.63 |
| 20 | -5.197 | 4.12 |